1.
Here is an optimized crystal structure of LaIn2TeSe from Alexandria. Energies are from PBEsol.

a b c (Å): 6.2369 6.2369 5.3402
angles (deg): 90.00 90.00 90.00
With the nearest neighbours (Å) after each atom.
Atoms (fractional coordinates):
La (0.0000, 0.0000, 0.0000)  2 Se 2.67
In (0.0000, 0.5000, 0.0000)  2 La 3.12
In (0.5000, 0.0000, 0.0000)  2 La 3.12
Te (0.5000, 0.5000, 0.5000)  8 In 4.11, 4 Se 4.41
Se (0.0000, 0.0000, 0.5000)  2 La 2.67

Results
Formation energy from raw total energies   231 meV per atom
Energy   -3.5065 eV/atom
DOS at the Fermi energy   5.1 states/eV/cell


2.
Here is an optimized crystal structure of La2InSi2 from Alexandria. Energies are from PBEsol.

a b c (Å): 7.5480 14.7934 4.3770
angles (deg): 90.00 90.00 90.00
With the nearest neighbours (Å) after each atom.
Atoms (fractional coordinates):
La (0.1104, 0.2174, 0.0000)  6 Si 3.06-3.14
La (0.2497, 0.4650, 0.0000)  6 Si 3.12-3.22
La (0.2503, 0.9650, 0.0000)  6 Si 3.12-3.22
La (0.3896, 0.7174, 0.0000)  6 Si 3.06-3.14
La (0.6104, 0.2826, 0.0000)  6 Si 3.06-3.14
La (0.7497, 0.0350, 0.0000)  6 Si 3.12-3.22
La (0.7503, 0.5350, 0.0000)  6 Si 3.12-3.22
La (0.8896, 0.7826, 0.0000)  6 Si 3.06-3.14
In (0.0662, 0.6242, 0.5000)  3 Si 2.96-3.05
In (0.4338, 0.1242, 0.5000)  3 Si 2.96-3.05
In (0.5662, 0.8758, 0.5000)  3 Si 2.96-3.05
In (0.9338, 0.3758, 0.5000)  3 Si 2.96-3.05
Si (0.0519, 0.0756, 0.5000)  2 Si 2.37-2.38
Si (0.1803, 0.8156, 0.5000)  1 Si 2.38
Si (0.3197, 0.3156, 0.5000)  1 Si 2.38
Si (0.4481, 0.5756, 0.5000)  2 Si 2.37-2.38
Si (0.5519, 0.4244, 0.5000)  2 Si 2.37-2.38
Si (0.6803, 0.6844, 0.5000)  1 Si 2.38
Si (0.8197, 0.1844, 0.5000)  1 Si 2.38
Si (0.9481, 0.9244, 0.5000)  2 Si 2.37-2.38

Results
Formation energy from raw total energies   -734 meV per atom
Energy   -5.7681 eV/atom
DOS at the Fermi energy   7.8 states/eV/cell


Q: Which value of formation energy from raw total energies does entry 2 give?
A: -734 meV per atom


Q: Which value of formation energy from raw total energies does entry 1 give?
A: 231 meV per atom


Q: formation energy from raw total energies of number 1 (LaIn2TeSe)?
A: 231 meV per atom